Entry 1:
Compound: YNbCu
Source: Alexandria via LeMat-Bulk
Functional: PBE
Structure: relaxed

Summary:
Energy relative to the elements: 0.00 eV per atom
Crystal system: monoclinic
Magnetic moment: 0.00 Bohr magnetons per cell
Symmetry: C2/m
Energy relative to the lowest polymorph listed for this composition: 27.5 meV per atom

a b c (Å): 16.0135 4.5753 3.2786
angles (deg): 90.00 90.48 90.00
Positions (direct):
1 Y 0.1732 0.0000 0.0096
2 Y 0.3268 0.5000 0.9904
3 Y 0.6732 0.5000 0.0096
4 Y 0.8268 0.0000 0.9904
5 Nb 0.0000 0.0000 0.5000
6 Nb 0.0000 0.5000 0.0000
7 Nb 0.5000 0.0000 0.0000
8 Nb 0.5000 0.5000 0.5000
9 Cu 0.1378 0.5000 0.5064
10 Cu 0.3622 0.0000 0.4936
11 Cu 0.6378 0.0000 0.5064
12 Cu 0.8622 0.5000 0.4936

Entry 2:
Compound: YNb2Cu2
Source: Alexandria via LeMat-Bulk
Functional: PBE
Structure: relaxed

Summary:
Energy relative to the elements: 0.44 eV per atom
Crystal system: tetragonal
Magnetic moment: 0.04 Bohr magnetons per cell
Symmetry: I4/mmm
Energy relative to the lowest polymorph listed for this composition: 209.7 meV per atom

a b c (Å): 4.2213 4.2213 11.1314
angles (deg): 90.00 90.00 90.00
Positions (direct):
1 Y 0.0000 0.0000 0.0000
2 Y 0.5000 0.5000 0.5000
3 Nb 0.0000 0.0000 0.3803
4 Nb 0.0000 0.0000 0.6197
5 Nb 0.5000 0.5000 0.1197
6 Nb 0.5000 0.5000 0.8803
7 Cu 0.0000 0.5000 0.2500
8 Cu 0.0000 0.5000 0.7500
9 Cu 0.5000 0.0000 0.2500
10 Cu 0.5000 0.0000 0.7500

Entry 3:
Compound: YNbCu
Source: Alexandria via LeMat-Bulk
Functional: PBE
Structure: relaxed

Summary:
Energy relative to the elements: 0.12 eV per atom
Crystal system: monoclinic
Magnetic moment: 0.00 Bohr magnetons per cell
Symmetry: Cm
Energy relative to the lowest polymorph listed for this composition: 145.9 meV per atom

a b c (Å): 10.7150 3.3537 8.0921
angles (deg): 90.00 121.54 90.00
Positions (direct):
1 Y 0.0000 0.0000 0.0000
2 Y 0.1094 0.5000 0.7027
3 Y 0.5000 0.5000 0.0000
4 Y 0.6094 0.0000 0.7027
5 Nb 0.2747 0.0000 0.5357
6 Nb 0.3325 0.5000 0.3255
7 Nb 0.7747 0.5000 0.5357
8 Nb 0.8325 0.0000 0.3255
9 Cu 0.0467 0.5000 0.3158
10 Cu 0.2886 0.0000 0.0353
11 Cu 0.5467 0.0000 0.3158
12 Cu 0.7886 0.5000 0.0353

Entry 4:
Compound: Y2NbCu2
Source: Alexandria via LeMat-Bulk
Functional: PBE
Structure: relaxed

Summary:
Energy relative to the elements: 0.09 eV per atom
Crystal system: tetragonal
Magnetic moment: 1.53 Bohr magnetons per cell
Symmetry: P4/mbm

a b c (Å): 7.7855 7.7855 3.4255
angles (deg): 90.00 90.00 90.00
Positions (direct):
1 Y 0.1775 0.3225 0.0000
2 Y 0.3225 0.8225 0.0000
3 Y 0.6775 0.1775 0.0000
4 Y 0.8225 0.6775 0.0000
5 Nb 0.0000 0.0000 0.5000
6 Nb 0.5000 0.5000 0.5000
7 Cu 0.1185 0.6185 0.5000
8 Cu 0.3815 0.1185 0.5000
9 Cu 0.6185 0.8815 0.5000
10 Cu 0.8815 0.3815 0.5000

Entry 5:
Compound: YNbCu
Source: Alexandria via LeMat-Bulk
Functional: PBE
Structure: relaxed

Summary:
Energy relative to the elements: -0.02 eV per atom
Crystal system: tetragonal
Magnetic moment: 0.00 Bohr magnetons per cell
Symmetry: P4/nmm
Energy relative to the lowest polymorph listed for this composition: 0.0 meV per atom

a b c (Å): 3.4967 3.4967 9.9134
angles (deg): 90.00 90.00 90.00
Positions (direct):
1 Y 0.2500 0.2500 0.2269
2 Y 0.7500 0.7500 0.7731
3 Nb 0.2500 0.2500 0.5618
4 Nb 0.7500 0.7500 0.4382
5 Cu 0.2500 0.2500 0.9402
6 Cu 0.7500 0.7500 0.0598

Entry 6:
Compound: YNb2Cu2
Source: Alexandria via LeMat-Bulk
Functional: PBE
Structure: relaxed

Summary:
Energy relative to the elements: 0.23 eV per atom
Crystal system: tetragonal
Magnetic moment: 0.00 Bohr magnetons per cell
Symmetry: P4/mbm
Energy relative to the lowest polymorph listed for this composition: 5.6 meV per atom

a b c (Å): 7.6587 7.6587 3.0334
angles (deg): 90.00 90.00 90.00
Positions (direct):
1 Y 0.0000 0.0000 0.0000
2 Y 0.5000 0.5000 0.0000
3 Nb 0.1721 0.3279 0.5000
4 Nb 0.3279 0.8279 0.5000
5 Nb 0.6721 0.1721 0.5000
6 Nb 0.8279 0.6721 0.5000
7 Cu 0.1186 0.6186 0.0000
8 Cu 0.3814 0.1186 0.0000
9 Cu 0.6186 0.8814 0.0000
10 Cu 0.8814 0.3814 0.0000

Entry 7:
Compound: Y3NbCu
Source: Alexandria via LeMat-Bulk
Functional: PBE
Structure: relaxed

Summary:
Energy relative to the elements: 0.58 eV per atom
Crystal system: cubic
Magnetic moment: 2.23 Bohr magnetons per cell
Symmetry: Pm-3m
Energy relative to the lowest polymorph listed for this composition: 0.0 meV per atom

a b c (Å): 5.2517 5.2517 5.2517
angles (deg): 90.00 90.00 90.00
Positions (direct):
1 Y 0.0000 0.0000 0.5000
2 Y 0.0000 0.5000 0.0000
3 Y 0.5000 0.0000 0.0000
4 Nb 0.5000 0.5000 0.5000
5 Cu 0.0000 0.0000 0.0000

Entry 8:
Compound: YNbCu
Source: Alexandria via LeMat-Bulk
Functional: PBE
Structure: relaxed

Summary:
Energy relative to the elements: 0.11 eV per atom
Crystal system: tetragonal
Magnetic moment: 0.00 Bohr magnetons per cell
Symmetry: P4/mmm
Energy relative to the lowest polymorph listed for this composition: 134.4 meV per atom

a b c (Å): 3.2930 3.2930 11.0879
angles (deg): 90.00 90.00 90.00
Positions (direct):
1 Y 0.0000 0.0000 0.1723
2 Y 0.0000 0.0000 0.8277
3 Nb 0.5000 0.5000 0.3706
4 Nb 0.5000 0.5000 0.6294
5 Cu 0.0000 0.0000 0.5000
6 Cu 0.5000 0.5000 0.0000